First-principles (GGA+U) data for a geometry-optimized Ac2VPbO6 structure, as listed in the Alexandria database.

* electronic total energy: -7.33 eV/atom
* SG: P4mm (99)

Cell: 5.733 5.733 5.398 Å, 90.00 90.00 90.00°
Atoms (fractional coordinates):
Ac  0.000  0.500  0.000
Ac  0.500  0.000  0.000
V  0.000  0.000  0.607
Pb  0.500  0.500  0.555
O  0.000  0.000  0.279
O  0.223  0.223  0.743
O  0.223  0.777  0.743
O  0.500  0.500  0.116
O  0.777  0.223  0.743
O  0.777  0.777  0.743